1.
Density functional theory data (PBE-GGA) for crystalline Cs3AgH5 at its relaxed geometry.

As for the uncorrected energy: -2.44 eV/atom. The calculation puts the volume at 24.24 A^3/atom.

It has space group I4/mcm (No. 140), with a = 8.2030 Å, b = 8.2030 Å, c = 12.9708 Å, α = 90.00°, β = 90.00° and γ = 90.00°. The distinct sites, in fractional coordinates, are Cs at (0.0000, 0.0000, 0.2500), Cs at (0.1802, 0.3198, 0.0000), Ag at (0.0000, 0.5000, 0.2500), H at (0.0000, 0.0000, 0.0000) and H at (0.1135, 0.3865, 0.3441).

2.
Density functional theory data (PBE-GGA) for crystalline CsAg2H4 at its relaxed geometry.

As for the uncorrected energy: -2.68 eV/atom. The calculation puts the volume at 15.17 A^3/atom.

It has space group P-1 (No. 2), with a = 3.6774 Å, b = 3.8125 Å, c = 7.8105 Å, α = 104.07°, β = 90.04° and γ = 90.27°. The distinct sites, in fractional coordinates, are Cs at (0.0000, 0.0000, 0.0000), Ag at (0.4971, 0.3235, 0.6471), H at (0.0025, 0.6580, 0.3160) and H at (0.4969, 0.8295, 0.6588).

3.
Density functional theory data (PBE-GGA) for crystalline CsAgH2 at its relaxed geometry.

As for the uncorrected energy: -2.28 eV/atom. The calculation puts the volume at 17.73 A^3/atom.

It has space group R-3m (No. 166, hexagonal axes), with a = 3.5834 Å, b = 3.5834 Å, c = 19.1316 Å, α = 90.00°, β = 90.00° and γ = 120.00°. The distinct sites, in fractional coordinates, are Cs at (0.0000, 0.0000, 0.0000), Ag at (0.0000, 0.0000, 0.5000) and H at (0.0000, 0.0000, 0.2185).

4.
Density functional theory data (PBE-GGA) for crystalline CsAgH6 at its relaxed geometry.

As for the uncorrected energy: -2.95 eV/atom. The calculation puts the volume at 20.18 A^3/atom.

It has space group C2/m (No. 12), with a = 10.5992 Å, b = 6.1043 Å, c = 6.0402 Å, α = 90.00°, β = 124.28° and γ = 90.00°. The distinct sites, in fractional coordinates, are Cs at (0.0000, 0.0000, 0.0000), Ag at (0.0000, 0.5000, 0.5000), H at (0.0047, 0.5000, 0.9404) and H at (0.2186, 0.2768, 0.5058).

5.
Density functional theory data (PBE-GGA) for crystalline CsAgH3 at its relaxed geometry.

As for the uncorrected energy: -2.58 eV/atom. The calculation puts the volume at 14.56 A^3/atom.

It has space group Pm-3m (No. 221), with a = 4.1758 Å, b = 4.1758 Å, c = 4.1758 Å, α = 90.00°, β = 90.00° and γ = 90.00°. The distinct sites, in fractional coordinates, are Cs at (0.0000, 0.0000, 0.0000), Ag at (0.5000, 0.5000, 0.5000) and H at (0.0000, 0.5000, 0.5000).

6.
Density functional theory data (PBE-GGA) for crystalline Cs2AgH2 at its relaxed geometry.

As for the uncorrected energy: -2.04 eV/atom. The calculation puts the volume at 28.67 A^3/atom.

It has space group P4/mbm (No. 127), with a = 8.4739 Å, b = 8.4739 Å, c = 3.9931 Å, α = 90.00°, β = 90.00° and γ = 90.00°. The distinct sites, in fractional coordinates, are Cs at (0.1528, 0.3472, 0.0000), Ag at (0.0000, 0.0000, 0.5000) and H at (0.1562, 0.6562, 0.5000).